# 1
This record from the Alexandria database describes a geometry-optimized TlTe3 structure. The functional is PBE-GGA.

Calculated values
formation energy from raw total energies	0.2518	eV per atom
crystal system	cubic

a b c (Å): 6.286 6.286 6.286
angles (deg): 90.00 90.00 90.00
Atoms (fractional coordinates):
1 Tl 0.000 0.000 0.000
2 Tl 0.500 0.500 0.500
3 Te 0.750 0.500 0.000
4 Te 0.250 0.500 0.000
5 Te 0.000 0.750 0.500
6 Te 0.000 0.250 0.500
7 Te 0.500 0.000 0.250
8 Te 0.500 0.000 0.750

# 2
This record from the Alexandria database describes a geometry-optimized Ho2ErTl2Ag2 structure. The functional is PBE-GGA.

Calculated values
crystal system	trigonal
total energy	-3.576	eV per atom

a b c (Å): 4.894 4.894 8.978
angles (deg): 74.18 74.18 60.00
Atoms (fractional coordinates):
1 Ho 0.132 0.132 0.603
2 Ho 0.868 0.868 0.397
3 Er 0.000 0.000 0.000
4 Tl 0.734 0.734 0.799
5 Tl 0.266 0.266 0.201
6 Ag 0.567 0.567 0.300
7 Ag 0.433 0.433 0.700

# 3
This record from the Alexandria database describes a geometry-optimized SrTlMo structure. The functional is PBE-GGA.

Calculated values
energy above the most stable polymorph in this dataset	0.655	eV per atom
crystal system	cubic

a b c (Å): 5.256 5.256 5.256
angles (deg): 60.00 60.00 60.00
Atoms (fractional coordinates):
1 Mo 0.500 0.500 0.500
2 Sr 0.750 0.750 0.750
3 Tl 0.000 0.000 0.000

# 4
This record from the Alexandria database describes a geometry-optimized Li4Hg3Pd4 structure. The functional is PBE-GGA.

Calculated values
energy above the most stable polymorph in this dataset	0.000	eV per atom
crystal system	triclinic

a b c (Å): 2.941 3.858 16.062
angles (deg): 96.87 95.04 89.94
Atoms (fractional coordinates):
1 Li 0.552 0.552 0.103
2 Li 0.448 0.448 0.897
3 Li 0.812 0.810 0.622
4 Li 0.188 0.190 0.378
5 Hg 0.638 0.640 0.279
6 Hg 0.362 0.360 0.721
7 Hg 0.000 0.000 0.000
8 Pd 0.089 0.090 0.179
9 Pd 0.272 0.272 0.545
10 Pd 0.728 0.728 0.455
11 Pd 0.911 0.910 0.821